The following is a PBE-GGA calculation of a relaxed Dy2UCuSe5 crystal, from the Alexandria database.

Lattice parameters (Å, degrees): 3.9480 9.2630 11.8611 90.00 90.00 102.30
With the nearest neighbours (Å) after each atom.
Sites, in units of the cell vectors:
U: 0.8034 0.6069 0.5102  6 Se 2.81-2.95
U: 0.1966 0.3931 0.0102  6 Se 2.81-2.95
Se: 0.0455 0.0910 0.0631  2 Cu 2.40
Se: 0.9545 0.9090 0.5631  2 Cu 2.40
Se: 0.2936 0.5873 0.6852  2 U 2.87, 2 Dy 2.93
Se: 0.6775 0.3549 0.8368  1 Cu 2.45
Se: 0.5041 0.0082 0.2796  1 Cu 2.39
Se: 0.6404 0.2809 0.5040  1 U 2.95, 4 Dy 3.00-3.07
Se: 0.3225 0.6451 0.3368  1 Cu 2.45
Se: 0.7064 0.4127 0.1852  2 U 2.87, 2 Dy 2.93
Se: 0.3596 0.7191 0.0040  1 U 2.95, 4 Dy 3.00-3.07
Se: 0.4959 0.9918 0.7796  1 Cu 2.39
Cu: 0.4352 0.8704 0.4519  4 Se 2.39-2.45
Cu: 0.5648 0.1296 0.9519  4 Se 2.39-2.45
Dy: 0.1004 0.2008 0.6847  7 Se 2.96-3.02
Dy: 0.1179 0.2358 0.3086  7 Se 2.87-3.19
Dy: 0.8821 0.7642 0.8086  7 Se 2.87-3.19
Dy: 0.8996 0.7992 0.1847  7 Se 2.96-3.02

The formation energy (no corrections) is -1.297 eV per atom. The value obtained for the electronic total energy is -5.96 eV/atom.

***

The following is a PBE-GGA calculation of a relaxed Dy3Cu2Si3 crystal, from the Alexandria database.

Lattice parameters (Å, degrees): 4.0932 5.6303 14.6006 90.00 90.00 111.32
With the nearest neighbours (Å) after each atom.
Sites, in units of the cell vectors:
Dy: 0.1349 0.2699 0.5969  4 Cu 3.01-3.11, 7 Si 3.02-3.14
Dy: 0.8651 0.7301 0.0969  4 Cu 3.01-3.11, 7 Si 3.02-3.14
Dy: 0.1349 0.2699 0.9031  4 Cu 3.01-3.11, 7 Si 3.02-3.14
Dy: 0.4196 0.8392 0.7500  5 Si 2.86-3.05, 4 Cu 2.94
Dy: 0.8651 0.7301 0.4031  4 Cu 3.01-3.11, 7 Si 3.02-3.14
Dy: 0.5804 0.1608 0.2500  5 Si 2.86-3.05, 4 Cu 2.94
Cu: 0.8439 0.6879 0.8843  3 Si 2.36-2.45
Cu: 0.1561 0.3121 0.1157  3 Si 2.36-2.45
Cu: 0.1561 0.3121 0.3843  3 Si 2.36-2.45
Cu: 0.8439 0.6879 0.6157  3 Si 2.36-2.45
Si: 0.5836 0.1672 0.4460  1 Si 2.36, 2 Cu 2.36
Si: 0.4164 0.8328 0.9460  1 Si 2.36, 2 Cu 2.36
Si: 0.2962 0.5925 0.2500  2 Cu 2.45
Si: 0.5836 0.1672 0.0540  1 Si 2.36, 2 Cu 2.36
Si: 0.4164 0.8328 0.5540  1 Si 2.36, 2 Cu 2.36
Si: 0.7038 0.4075 0.7500  2 Cu 2.45

The formation energy (no corrections) is -0.658 eV per atom. The value obtained for the electronic total energy is -5.44 eV/atom.